Entry 1:
DFT (PBE) results for NaLiLaAu after structural relaxation.

Cell and atoms, written as CIF:
```
data_NaLiLaAu
_chemical_formula_sum 'Na1 Li1 La1 Au1'
_symmetry_space_group_name_H-M 'P 1'
_symmetry_Int_Tables_number 1
_cell_length_a 5.1988
_cell_length_b 5.1988
_cell_length_c 5.1988
_cell_angle_alpha 60.00
_cell_angle_beta 60.00
_cell_angle_gamma 60.00
loop_
_symmetry_equiv_pos_as_xyz
'x,y,z'
loop_
_atom_site_label
_atom_site_type_symbol
_atom_site_fract_x
_atom_site_fract_y
_atom_site_fract_z
Na1 Na 0.0000 0.0000 0.0000
Li1 Li 0.2500 0.2500 0.2500
La1 La 0.5000 0.5000 0.5000
Au1 Au 0.7500 0.7500 0.7500
```

Magnetization (μB/f.u.): 0.0
Energy of formation (eV per atom): -0.2390
Total energy (eV/cell): -12.39



Entry 2:
DFT (PBE) results for LaSm3Al after structural relaxation.

Cell and atoms, written as CIF:
```
data_LaSm3Al
_chemical_formula_sum 'La2 Sm6 Al2'
_symmetry_space_group_name_H-M 'P 1'
_symmetry_Int_Tables_number 1
_cell_length_a 3.7700
_cell_length_b 8.7176
_cell_length_c 9.9323
_cell_angle_alpha 76.53
_cell_angle_beta 79.08
_cell_angle_gamma 89.99
loop_
_symmetry_equiv_pos_as_xyz
'x,y,z'
loop_
_atom_site_label
_atom_site_type_symbol
_atom_site_fract_x
_atom_site_fract_y
_atom_site_fract_z
La1 La 0.0980 0.0411 0.3061
La2 La 0.9020 0.9589 0.6939
Sm1 Sm 0.3013 0.1881 0.8967
Sm2 Sm 0.3151 0.6148 0.8695
Sm3 Sm 0.4993 0.7037 0.5022
Sm4 Sm 0.5007 0.2963 0.4978
Sm5 Sm 0.6849 0.3852 0.1305
Sm6 Sm 0.6987 0.8119 0.1033
Al1 Al 0.0992 0.5641 0.3017
Al2 Al 0.9008 0.4359 0.6983
```

Magnetization (μB/f.u.): 0.0
Energy of formation (eV per atom): -0.1225
Total energy (eV/cell): -46.88



Entry 3:
DFT (PBE) results for Tb2MgPd8 after structural relaxation.

Cell and atoms, written as CIF:
```
data_Tb2MgPd8
_chemical_formula_sum 'Tb2 Mg1 Pd8'
_symmetry_space_group_name_H-M 'P 1'
_symmetry_Int_Tables_number 1
_cell_length_a 7.6150
_cell_length_b 7.6150
_cell_length_c 6.5635
_cell_angle_alpha 106.94
_cell_angle_beta 106.94
_cell_angle_gamma 32.15
loop_
_symmetry_equiv_pos_as_xyz
'x,y,z'
loop_
_atom_site_label
_atom_site_type_symbol
_atom_site_fract_x
_atom_site_fract_y
_atom_site_fract_z
Tb1 Tb 0.2159 0.2159 0.1677
Tb2 Tb 0.7841 0.7841 0.8323
Mg1 Mg 0.5000 0.5000 0.5000
Pd1 Pd 0.0344 0.0344 0.2241
Pd2 Pd 0.1408 0.1408 0.6765
Pd3 Pd 0.3317 0.3317 0.5980
Pd4 Pd 0.4097 0.4097 0.0576
Pd5 Pd 0.5903 0.5903 0.9424
Pd6 Pd 0.6683 0.6683 0.4020
Pd7 Pd 0.8592 0.8592 0.3235
Pd8 Pd 0.9656 0.9656 0.7759
```

Magnetization (μB/f.u.): 0.0
Energy of formation (eV per atom): -0.6420
Total energy (eV/cell): -59.46